Entry 1:
An optimized crystal structure of PrDy2Mg2, computed with PBE.

It has space group Imma (No. 74), with a = 3.555 Å, b = 5.519 Å, c = 30.634 Å, α = 90.00°, β = 90.00° and γ = 90.00°. The distinct sites, in fractional coordinates, are Pr at (0.000, 0.250, 0.078), Dy at (0.000, 0.250, 0.303), Dy at (0.000, 0.250, 0.794), Mg at (0.000, 0.250, 0.522) and Mg at (0.000, 0.250, 0.619).

The calculation puts the density of states at the Fermi level at 5.45 states/eV/f.u. Its calculated density is 5.7 g cm⁻³. Its raw total energy is -3.3844 eV/atom. The energy of formation comes out at 50 meV/atom.

---

Entry 2:
An optimized crystal structure of PrDy4Mg, computed with PBE.

It has space group Cmc2_1 (No. 36), with a = 5.469 Å, b = 12.154 Å, c = 11.203 Å, α = 90.00°, β = 90.00° and γ = 90.00°. The distinct sites, in fractional coordinates, are Pr at (0.000, 0.179, 0.000), Dy at (0.000, 0.020, 0.714), Dy at (0.000, 0.172, 0.439), Dy at (0.000, 0.320, 0.719), Dy at (0.000, 0.496, 0.975) and Mg at (0.000, 0.348, 0.227).

The calculation puts the density of states at the Fermi level at 7.46 states/eV/f.u. Its calculated density is 7.3 g cm⁻³. Its raw total energy is -4.1091 eV/atom. The energy of formation comes out at 21 meV/atom.

---

Entry 3:
An optimized crystal structure of Pr7DyMg4, computed with PBE.

It has space group C2/m (No. 12), with a = 15.563 Å, b = 5.909 Å, c = 9.906 Å, α = 90.00°, β = 121.17° and γ = 90.00°. The distinct sites, in fractional coordinates, are Pr at (0.000, 0.000, 0.000), Pr at (0.083, 0.500, 0.426), Pr at (0.196, 0.500, 0.879), Pr at (0.247, 0.000, 0.713), Dy at (0.000, 0.500, 0.000), Mg at (0.037, 0.000, 0.693) and Mg at (0.174, 0.000, 0.345).

The calculation puts the density of states at the Fermi level at 14.02 states/eV/f.u. Its calculated density is 5.3 g cm⁻³. Its raw total energy is -3.5867 eV/atom. The energy of formation comes out at 116 meV/atom.

---

Number 2 is which compound?
PrDy4Mg